First-principles (PBE) data for a relaxed Hf4CuPt crystal, as listed in Alexandria.

The value obtained for the theoretical density is 14.0 Mg/m³. For the magnetic moment, the calculation gives 0.00 μB/cell. As for the energy above the most stable polymorph in this dataset: 0.00 eV/f.u. The space group is P4/mmm.

Lattice parameters (Å, degrees): 3.248 3.248 10.962 90.00 90.00 90.00
Atoms (fractional coordinates):
Hf 0.000 0.000 0.657
Hf 0.500 0.500 0.844
Hf 0.500 0.500 0.156
Hf 0.000 0.000 0.343
Pt 0.500 0.500 0.500
Cu 0.000 0.000 0.000



First-principles (PBE) data for a relaxed HfCu4Pt2 crystal, as listed in Alexandria.

The value obtained for the theoretical density is 12.5 Mg/m³. The value obtained for the raw total energy is -5.24 eV per atom. For the magnetic moment, the calculation gives 0.00 μB/cell. The space group is I4/mmm.

Lattice parameters (Å, degrees): 4.905 4.905 5.709 115.44 115.44 90.00
Atoms (fractional coordinates):
Hf 0.000 0.000 0.000
Pt 0.345 0.345 0.690
Pt 0.655 0.655 0.310
Cu 0.000 0.500 0.000
Cu 0.750 0.250 0.500
Cu 0.500 0.000 0.000
Cu 0.250 0.750 0.500



First-principles (PBE) data for a relaxed Hf4CuPt crystal, as listed in Alexandria.

The value obtained for the theoretical density is 13.6 Mg/m³. For the magnetic moment, the calculation gives 0.00 μB/cell. As for the energy above the most stable polymorph in this dataset: 1.38 eV/f.u. The space group is C2/m.

Lattice parameters (Å, degrees): 3.229 5.480 13.443 89.32 90.00 90.00
Atoms (fractional coordinates):
Hf 0.500 0.164 0.841
Hf 0.000 0.664 0.341
Hf 0.500 0.836 0.159
Hf 0.000 0.669 0.841
Hf 0.500 0.169 0.341
Hf 0.500 0.831 0.659
Hf 0.000 0.331 0.159
Hf 0.000 0.336 0.659
Pt 0.000 0.000 0.500
Pt 0.500 0.500 0.000
Cu 0.000 0.000 0.000
Cu 0.500 0.500 0.500



First-principles (PBE) data for a relaxed HfCu2Pt2 crystal, as listed in Alexandria.

The value obtained for the theoretical density is 14.8 Mg/m³. For the magnetic moment, the calculation gives 0.00 μB/cell. As for the energy above the most stable polymorph in this dataset: 1.18 eV/f.u. The space group is P4/mbm.

Lattice parameters (Å, degrees): 7.234 7.234 2.977 90.00 90.00 90.00
Atoms (fractional coordinates):
Hf 0.000 0.000 0.000
Hf 0.500 0.500 0.000
Pt 0.361 0.861 0.000
Pt 0.639 0.139 0.000
Pt 0.139 0.361 0.000
Pt 0.861 0.639 0.000
Cu 0.842 0.342 0.500
Cu 0.658 0.842 0.500
Cu 0.158 0.658 0.500
Cu 0.342 0.158 0.500



First-principles (PBE) data for a relaxed Hf2CuPt crystal, as listed in Alexandria.

The value obtained for the theoretical density is 14.4 Mg/m³. The value obtained for the raw total energy is -8.10 eV per atom. For the magnetic moment, the calculation gives 0.00 μB/cell. The space group is P4/mmm.

Lattice parameters (Å, degrees): 3.338 4.613 4.613 90.00 90.00 90.00
Atoms (fractional coordinates):
Cu 0.500 0.500 0.500
Hf 0.000 0.500 0.000
Hf 0.000 0.000 0.500
Pt 0.500 0.000 0.000



First-principles (PBE) data for a relaxed HfCuPt6 crystal, as listed in Alexandria.

The value obtained for the theoretical density is 18.7 Mg/m³. The value obtained for the raw total energy is -6.91 eV per atom. For the magnetic moment, the calculation gives 0.00 μB/cell. The space group is P4/mmm.

Lattice parameters (Å, degrees): 3.989 3.989 7.867 90.00 90.00 90.00
Atoms (fractional coordinates):
Pt 0.000 0.500 0.255
Pt 0.000 0.500 0.745
Pt 0.500 0.500 0.500
Pt 0.500 0.500 0.000
Pt 0.500 0.000 0.255
Pt 0.500 0.000 0.745
Hf 0.000 0.000 0.000
Cu 0.000 0.000 0.500



First-principles (PBE) data for a relaxed Hf2Cu2Pt crystal, as listed in Alexandria.

The value obtained for the theoretical density is 13.8 Mg/m³. For the magnetic moment, the calculation gives 0.00 μB/cell. As for the energy above the most stable polymorph in this dataset: 0.00 eV/f.u. The space group is P4/mbm.

Lattice parameters (Å, degrees): 6.874 6.874 3.467 90.00 90.00 90.00
Atoms (fractional coordinates):
Cu 0.124 0.376 0.000
Cu 0.376 0.876 0.000
Cu 0.876 0.624 0.000
Cu 0.624 0.124 0.000
Hf 0.676 0.824 0.500
Hf 0.176 0.676 0.500
Hf 0.324 0.176 0.500
Hf 0.824 0.324 0.500
Pt 0.500 0.500 0.000
Pt 0.000 0.000 0.000



First-principles (PBE) data for a relaxed Hf6CuPt2 crystal, as listed in Alexandria.

The value obtained for the theoretical density is 13.9 Mg/m³. The value obtained for the raw total energy is -8.85 eV per atom. For the magnetic moment, the calculation gives 0.00 μB/cell. The space group is P2_1/c.

Lattice parameters (Å, degrees): 5.792 7.085 8.908 90.00 88.56 90.00
Atoms (fractional coordinates):
Hf 0.343 0.852 0.048
Hf 0.360 0.772 0.433
Hf 0.325 0.559 0.739
Hf 0.140 0.272 0.067
Hf 0.825 0.941 0.239
Hf 0.657 0.148 0.952
Hf 0.640 0.228 0.567
Hf 0.860 0.728 0.933
Hf 0.157 0.352 0.452
Hf 0.175 0.059 0.761
Hf 0.843 0.648 0.548
Hf 0.675 0.441 0.261
Cu 0.000 0.000 0.500
Cu 0.500 0.500 0.000
Pt 0.594 0.895 0.714
Pt 0.906 0.395 0.786
Pt 0.094 0.605 0.214
Pt 0.406 0.105 0.286



First-principles (PBE) data for a relaxed HfCuPt3 crystal, as listed in Alexandria.

The value obtained for the theoretical density is 17.5 Mg/m³. For the magnetic moment, the calculation gives 0.00 μB/cell. As for the energy above the most stable polymorph in this dataset: 0.00 eV/f.u. The space group is Pnma.

Lattice parameters (Å, degrees): 4.006 5.581 14.060 90.00 90.00 90.00
Atoms (fractional coordinates):
Cu 0.750 0.372 0.449
Cu 0.750 0.872 0.051
Cu 0.250 0.128 0.949
Cu 0.250 0.628 0.551
Pt 0.250 0.143 0.547
Pt 0.750 0.906 0.855
Pt 0.750 0.406 0.645
Pt 0.750 0.344 0.252
Pt 0.250 0.156 0.752
Pt 0.250 0.656 0.748
Pt 0.250 0.594 0.355
Pt 0.750 0.844 0.248
Pt 0.250 0.094 0.145
Pt 0.250 0.643 0.953
Pt 0.750 0.357 0.047
Pt 0.750 0.857 0.453
Hf 0.750 0.405 0.850
Hf 0.250 0.595 0.150
Hf 0.250 0.095 0.350
Hf 0.750 0.905 0.650



First-principles (PBE) data for a relaxed HfCu2Pt2 crystal, as listed in Alexandria.

The value obtained for the theoretical density is 14.2 Mg/m³. For the magnetic moment, the calculation gives 0.00 μB/cell. As for the energy above the most stable polymorph in this dataset: 0.53 eV/f.u. The space group is I4/mmm.

Lattice parameters (Å, degrees): 3.459 3.459 7.208 76.12 76.12 90.00
Atoms (fractional coordinates):
Hf 0.000 0.000 0.000
Pt 0.398 0.398 0.204
Pt 0.602 0.602 0.796
Cu 0.750 0.250 0.500
Cu 0.250 0.750 0.500



First-principles (PBE) data for a relaxed HfCu5Pt6 crystal, as listed in Alexandria.

The value obtained for the theoretical density is 15.9 Mg/m³. The value obtained for the raw total energy is -6.00 eV per atom. For the magnetic moment, the calculation gives 0.00 μB/cell. The space group is Cmmm.

Lattice parameters (Å, degrees): 3.983 7.387 6.259 90.00 71.45 90.00
Atoms (fractional coordinates):
Pt 0.832 0.743 0.337
Pt 0.832 0.257 0.337
Pt 0.500 0.748 0.000
Pt 0.500 0.252 0.000
Pt 0.168 0.257 0.663
Pt 0.168 0.743 0.663
Cu 0.000 0.500 0.000
Cu 0.337 0.500 0.325
Cu 0.663 0.500 0.675
Cu 0.327 0.000 0.346
Cu 0.673 0.000 0.654
Hf 0.000 0.000 0.000



First-principles (PBE) data for a relaxed HfCu2Pt2 crystal, as listed in Alexandria.

The value obtained for the theoretical density is 15.2 Mg/m³. For the magnetic moment, the calculation gives 0.00 μB/cell. As for the energy above the most stable polymorph in this dataset: 0.87 eV/f.u. The space group is P4/mbm.

Lattice parameters (Å, degrees): 7.157 7.157 2.971 90.00 90.00 90.00
Atoms (fractional coordinates):
Cu 0.381 0.881 0.000
Cu 0.119 0.381 0.000
Cu 0.881 0.619 0.000
Cu 0.619 0.119 0.000
Pt 0.822 0.322 0.500
Pt 0.678 0.822 0.500
Pt 0.322 0.178 0.500
Pt 0.178 0.678 0.500
Hf 0.500 0.500 0.000
Hf 0.000 0.000 0.000



First-principles (PBE) data for a relaxed Hf2CuPt crystal, as listed in Alexandria.

The value obtained for the theoretical density is 13.5 Mg/m³. The value obtained for the raw total energy is -7.62 eV per atom. For the magnetic moment, the calculation gives 0.00 μB/cell. The space group is I-42d.

Lattice parameters (Å, degrees): 7.344 7.344 5.905 51.55 51.55 90.00
Atoms (fractional coordinates):
Cu 0.500 0.500 0.000
Cu 0.250 0.750 0.500
Pt 0.750 0.250 0.500
Pt 0.000 0.000 0.000
Hf 0.119 0.625 0.250
Hf 0.375 0.369 0.750
Hf 0.631 0.125 0.250
Hf 0.875 0.881 0.750



First-principles (PBE) data for a relaxed Hf2CuPt crystal, as listed in Alexandria.

The value obtained for the theoretical density is 14.1 Mg/m³. The value obtained for the raw total energy is -8.17 eV per atom. For the magnetic moment, the calculation gives 0.00 μB/cell. The space group is P2_1/m.

Lattice parameters (Å, degrees): 4.299 5.487 6.686 113.10 90.00 90.00
Atoms (fractional coordinates):
Hf 0.250 0.788 0.581
Hf 0.750 0.212 0.419
Hf 0.250 0.782 0.084
Hf 0.750 0.218 0.916
Cu 0.250 0.323 0.198
Cu 0.750 0.677 0.802
Pt 0.250 0.340 0.706
Pt 0.750 0.660 0.294



First-principles (PBE) data for a relaxed Hf4Cu3Pt crystal, as listed in Alexandria.

The value obtained for the theoretical density is 12.9 Mg/m³. The value obtained for the raw total energy is -7.64 eV per atom. For the magnetic moment, the calculation gives 0.00 μB/cell. The space group is Pmm2.

Lattice parameters (Å, degrees): 3.285 4.223 10.187 90.00 90.00 90.00
Atoms (fractional coordinates):
Hf 0.000 0.500 0.848
Hf 0.500 0.000 0.650
Hf 0.000 0.000 0.148
Hf 0.500 0.500 0.356
Cu 0.000 0.000 0.423
Cu 0.500 0.000 0.917
Cu 0.000 0.500 0.577
Pt 0.500 0.500 0.081



First-principles (PBE) data for a relaxed HfCu3Pt6 crystal, as listed in Alexandria.

The value obtained for the theoretical density is 16.9 Mg/m³. The value obtained for the raw total energy is -6.31 eV per atom. For the magnetic moment, the calculation gives 0.00 μB/cell. The space group is P2_1/m.

Lattice parameters (Å, degrees): 4.014 8.434 8.941 94.22 90.00 90.00
Atoms (fractional coordinates):
Cu 0.250 0.553 0.395
Cu 0.750 0.447 0.605
Cu 0.750 0.255 0.006
Cu 0.250 0.745 0.994
Cu 0.250 0.346 0.812
Cu 0.750 0.654 0.188
Pt 0.250 0.625 0.693
Pt 0.250 0.056 0.907
Pt 0.250 0.260 0.513
Pt 0.750 0.840 0.794
Pt 0.750 0.151 0.702
Pt 0.750 0.541 0.900
Pt 0.250 0.849 0.298
Pt 0.250 0.459 0.100
Pt 0.250 0.160 0.206
Pt 0.750 0.944 0.093
Pt 0.750 0.740 0.487
Pt 0.750 0.375 0.307
Hf 0.250 0.933 0.618
Hf 0.750 0.067 0.382



First-principles (PBE) data for a relaxed Hf3CuPt crystal, as listed in Alexandria.

The value obtained for the theoretical density is 13.8 Mg/m³. For the magnetic moment, the calculation gives 0.00 μB/cell. As for the energy above the most stable polymorph in this dataset: 0.00 eV/f.u. The space group is C2/m.

Lattice parameters (Å, degrees): 3.311 7.147 8.306 93.93 89.95 103.34
Atoms (fractional coordinates):
Cu 0.814 0.661 0.806
Cu 0.230 0.493 0.615
Hf 0.791 0.615 0.386
Hf 0.058 0.150 0.427
Hf 0.986 0.004 0.995
Hf 0.425 0.884 0.646
Hf 0.619 0.271 0.775
Hf 0.253 0.539 0.035
Pt 0.623 0.280 0.171
Pt 0.421 0.874 0.251



First-principles (PBE) data for a relaxed Hf2Cu2Pt crystal, as listed in Alexandria.

The value obtained for the theoretical density is 13.6 Mg/m³. For the magnetic moment, the calculation gives 0.00 μB/cell. As for the energy above the most stable polymorph in this dataset: 0.11 eV/f.u. The space group is I4/mmm.

Lattice parameters (Å, degrees): 3.361 3.361 7.727 77.37 102.63 90.04
Atoms (fractional coordinates):
Cu 0.209 0.791 0.418
Cu 0.791 0.209 0.582
Hf 0.608 0.392 0.216
Hf 0.392 0.608 0.784
Pt 0.000 0.000 0.000



First-principles (PBE) data for a relaxed HfCu4Pt crystal, as listed in Alexandria.

The value obtained for the theoretical density is 12.7 Mg/m³. The value obtained for the raw total energy is -5.78 eV per atom. For the magnetic moment, the calculation gives 0.00 μB/cell. The space group is F-43m.

Lattice parameters (Å, degrees): 4.872 4.872 4.872 60.00 60.00 60.00
Atoms (fractional coordinates):
Cu 0.625 0.625 0.625
Cu 0.124 0.625 0.625
Cu 0.625 0.124 0.625
Cu 0.625 0.625 0.124
Pt 0.000 0.000 0.000
Hf 0.250 0.250 0.250



First-principles (PBE) data for a relaxed HfCu2Pt6 crystal, as listed in Alexandria.

The value obtained for the theoretical density is 16.9 Mg/m³. The value obtained for the raw total energy is -6.33 eV per atom. For the magnetic moment, the calculation gives 0.00 μB/cell. The space group is Amm2.

Lattice parameters (Å, degrees): 3.589 6.486 6.486 106.07 90.00 90.00
Atoms (fractional coordinates):
Pt 0.500 0.998 0.590
Pt 0.500 0.590 0.998
Pt 0.000 0.832 0.832
Pt 0.000 0.879 0.261
Pt 0.500 0.556 0.556
Pt 0.000 0.261 0.879
Cu 0.000 0.493 0.262
Cu 0.000 0.262 0.493
Hf 0.500 0.129 0.129